{"formula": "Sr2Li4SbAs3", "functional": "PBE", "state": "relaxed", "lattice_angstrom": [[4.349, 0.000, 0.000], [0.000, 4.349, 0.000], [0.000, 0.000, 11.429]], "species": ["Sr", "Sr", "Li", "Li", "Li", "Li", "Sb", "As", "As", "As"], "frac_coords": [[0.000, 0.500, 0.230], [0.500, 0.000, 0.770], [0.000, 0.000, 0.000], [0.000, 0.500, 0.648], [0.500, 0.000, 0.352], [0.500, 0.500, 0.000], [0.000, 0.000, 0.500], [0.000, 0.500, 0.865], [0.500, 0.000, 0.135], [0.500, 0.500, 0.500]], "vol_a3_per_atom": 21.6, "density_kg_m3": 4222, "n_ef_per_ev_cell": 2.4, "magnetic_moment_mub_per_fu": 0.00, "formation_energy_uncorrected_ev_per_atom": -0.806}

{"formula": "SrRe2W2", "functional": "PBE", "state": "relaxed", "lattice_angstrom": [[4.396, 0.000, 0.000], [0.000, 4.396, 0.000], [0.000, 0.000, 10.792]], "species": ["Sr", "Sr", "Re", "Re", "Re", "Re", "W", "W", "W", "W"], "frac_coords": [[0.000, 0.000, 0.000], [0.500, 0.500, 0.500], [0.000, 0.000, 0.376], [0.000, 0.000, 0.624], [0.500, 0.500, 0.124], [0.500, 0.500, 0.876], [0.000, 0.500, 0.250], [0.000, 0.500, 0.750], [0.500, 0.000, 0.250], [0.500, 0.000, 0.750]], "vol_a3_per_atom": 20.9, "density_kg_m3": 13178, "n_ef_per_ev_cell": 8.7, "magnetic_moment_mub_per_fu": 0.00, "ef_ev_per_atom": 0.366}

{"formula": "TiAl", "functional": "PBE", "state": "relaxed", "lattice_angstrom": [[4.625, 0.000, 0.000], [-2.313, 4.006, 0.000], [0.000, 0.000, 5.171]], "species": ["Ti", "Ti", "Al", "Al"], "frac_coords": [[0.333, 0.667, 0.250], [0.667, 0.333, 0.750], [0.333, 0.667, 0.750], [0.667, 0.333, 0.250]], "vol_a3_per_atom": 24.0, "density_kg_m3": 2595, "n_ef_per_ev_cell": 6.0, "magnetic_moment_mub_per_fu": 0.79, "ef_ev_per_atom": 0.791}

{"formula": "CrH3Rh", "functional": "PBE", "state": "relaxed", "lattice_angstrom": [[3.351, 0.000, 0.000], [0.000, 3.351, 0.000], [0.000, 0.000, 3.351]], "species": ["Cr", "H", "H", "H", "Rh"], "frac_coords": [[0.000, 0.000, 0.000], [0.000, 0.500, 0.500], [0.500, 0.000, 0.500], [0.500, 0.500, 0.000], [0.500, 0.500, 0.500]], "vol_a3_per_atom": 7.5, "density_kg_m3": 6967, "n_ef_per_ev_cell": 3.9, "magnetic_moment_mub_per_fu": 0.00, "final_energy_ev_per_atom": -5.0832}